(1)
Compound: Ba2TlCu
Source: Alexandria
Functional: PBEsol
Structure: optimized geometry

Results
Symmetry: Pmmm
Formation energy from the elements (meV/atom): 78
Electronic total energy (eV per atom): -2.738

The structure in CIF format:
```
data_Ba2TlCu
_space_group_name_H-M_alt 'P 1'
_space_group_IT_number 1
_space_group_name_Hall 'P 1'
_cell_length_a 4.198
_cell_length_b 5.392
_cell_length_c 6.851
_cell_angle_alpha 89.98
_cell_angle_beta 90.00
_cell_angle_gamma 90.00
loop_
_atom_site_label
_atom_site_type_symbol
_atom_site_fract_x
_atom_site_fract_y
_atom_site_fract_z
_atom_site_occupancy
Ba1 Ba 0.000 0.000 0.000 1
Ba2 Ba 0.500 0.500 0.500 1
Cu1 Cu 0.500 0.500 0.000 1
Tl1 Tl 0.000 0.000 0.500 1
```


(2)
Compound: TeRhW
Source: Alexandria
Functional: PBEsol
Structure: optimized geometry

Results
Formation energy from raw total energies (eV per atom): 0.335
Symmetry: I4mm
Electronic total energy (eV per atom): -8.156

The structure in CIF format:
```
data_TeRhW
_space_group_name_H-M_alt 'P 1'
_space_group_IT_number 1
_space_group_name_Hall 'P 1'
_cell_length_a 3.096
_cell_length_b 3.096
_cell_length_c 5.775
_cell_angle_alpha 105.55
_cell_angle_beta 105.55
_cell_angle_gamma 90.00
loop_
_atom_site_label
_atom_site_type_symbol
_atom_site_fract_x
_atom_site_fract_y
_atom_site_fract_z
_atom_site_occupancy
Rh1 Rh 0.987 0.987 0.974 1
Te1 Te 0.672 0.672 0.344 1
W1 W 0.341 0.341 0.682 1
```


no.,calculated volume (Å³/cell)
1,155.1
2,51.2